# 1
The following is a PBE calculation of an optimized crystal structure of LiNpTa2N4, from the Alexandria database.

- formation energy (no corrections) (eV per atom) = -1.141
- density (g/cm3) = 12.1
- calculated volume (Å³/atom) = 11.34
- space-group type = P2/m (10)
- energy (eV per atom) = -10.123
- spin magnetization (μB per formula unit) = 2.29

Cell: 3.1557 5.4080 5.5741 Å, 107.50 90.00 90.00°
Last column: magnetic moment on the atom in μB.
Atoms (fractional coordinates):
Li  0.5000  0.5000  0.0000  0.00
Np  0.0000  0.0000  0.0000  2.43
Ta  0.5000  0.0000  0.5000  -0.03
Ta  0.0000  0.5000  0.5000  -0.04
N  0.5000  0.2695  0.2662  -0.04
N  0.5000  0.7305  0.7338  -0.04
N  0.0000  0.2397  0.7279  -0.03
N  0.0000  0.7603  0.2721  -0.03

---

# 2
The following is a PBE calculation of an optimized crystal structure of KTlCdAu, from the Alexandria database.

- excess energy over the best structure of this formula in the dataset (meV per atom) = 0.0
- density (g/cm3) = 7.3
- calculated volume (Å³/atom) = 31.50
- space-group type = R3m (160)
- formation energy (eV per atom) = -0.177
- energy (eV per atom) = -2.091
- spin magnetization (μB per formula unit) = 0.00

Cell: 4.9241 4.9241 6.6395 Å, 68.23 68.23 60.00°
Atoms (fractional coordinates):
K  0.8136  0.8136  0.5592
Tl  0.0185  0.0185  0.9446
Cd  0.2773  0.2773  0.1680
Au  0.6165  0.6165  0.1506

---

# 3
The following is a PBE calculation of an optimized crystal structure of Ce6PuGa, from the Alexandria database.

- excess energy over the best structure of this formula in the dataset (meV per atom) = 22.4
- density (g/cm3) = 8.7
- calculated volume (Å³/atom) = 27.63
- space-group type = C2/m (12)
- formation energy (eV per atom) = -0.119
- energy (eV per atom) = -6.739
- spin magnetization (μB per formula unit) = 0.00

Cell: 6.0986 6.0986 6.2510 Å, 77.51 77.51 91.14°
Atoms (fractional coordinates):
Ce  0.1139  0.7196  0.2929
Ce  0.7196  0.1139  0.2929
Ce  0.2804  0.8861  0.7071
Ce  0.8861  0.2804  0.7071
Ce  0.2764  0.2764  0.0414
Ce  0.7236  0.7236  0.9586
Pu  0.0000  0.0000  0.0000
Ga  0.5000  0.5000  0.5000

---

# 4
The following is a PBE calculation of an optimized crystal structure of SmIr2Rh4, from the Alexandria database.

- density (g/cm3) = 13.6
- calculated volume (Å³/atom) = 16.45
- space-group type = C2/m (12)
- formation energy (eV per atom) = -0.266
- energy (eV per atom) = -7.673
- spin magnetization (μB per formula unit) = 0.00

Cell: 5.2170 5.3705 5.3705 Å, 76.41 61.02 61.02°
Atoms (fractional coordinates):
Sm  0.0000  0.0000  0.0000
Ir  0.7517  0.4983  0.4983
Ir  0.2483  0.5017  0.5017
Rh  0.6987  0.6020  0.0001
Rh  0.3013  0.3980  0.9999
Rh  0.6987  0.0001  0.6020
Rh  0.3013  0.9999  0.3980

---

# 5
The following is a PBE calculation of an optimized crystal structure of Na3TiCr, from the Alexandria database.

- excess energy over the best structure of this formula in the dataset (meV per atom) = 12.0
- density (g/cm3) = 1.5
- calculated volume (Å³/atom) = 37.44
- space-group type = Pm-3m (221)
- formation energy (eV per atom) = 1.479
- energy (eV per atom) = -2.817
- spin magnetization (μB per formula unit) = 1.14

Cell: 5.7207 5.7207 5.7207 Å, 90.00 90.00 90.00°
Last column: magnetic moment on the atom in μB.
Atoms (fractional coordinates):
Cr  0.5000  0.5000  0.5000  -4.29
Na  0.0000  0.5000  0.0000  0.05
Na  0.0000  0.0000  0.5000  0.03
Na  0.5000  0.0000  0.0000  0.06
Ti  0.0000  0.0000  0.0000  2.27

---

# 6
The following is a PBE calculation of an optimized crystal structure of CaNiC2Cl, from the Alexandria database.

- formation energy (no corrections) (eV per atom) = 0.526
- density (g/cm3) = 3.2
- calculated volume (Å³/atom) = 16.22
- space-group type = P4/mmm (123)
- energy (eV per atom) = -5.090
- spin magnetization (μB per formula unit) = 0.99

Cell: 3.7062 5.9030 3.7062 Å, 90.00 90.00 90.00°
Last column: magnetic moment on the atom in μB.
Atoms (fractional coordinates):
Ni  0.0000  0.0000  0.0000  0.26
Ca  0.0000  0.5000  0.0000  0.00
C  0.0000  0.0000  0.5000  0.27
C  0.5000  0.0000  0.0000  0.12
Cl  0.5000  0.5000  0.5000  0.00

---

# 7
The following is a PBE calculation of an optimized crystal structure of AlCu2Pd4, from the Alexandria database.

- excess energy over the best structure of this formula in the dataset (meV per atom) = 0.0
- density (g/cm3) = 9.6
- calculated volume (Å³/atom) = 14.29
- space-group type = P1 (1)
- formation energy (eV per atom) = -0.368
- energy (eV per atom) = -5.040
- spin magnetization (μB per formula unit) = 0.00

Cell: 6.2241 5.4317 7.1034 Å, 110.34 107.22 103.08°
Atoms (fractional coordinates):
Al  0.1680  0.8713  0.4704
Al  0.8723  0.0762  0.0239
Cu  0.6020  0.3277  0.6160
Cu  0.7330  0.9398  0.3240
Cu  0.7247  0.4412  0.3264
Cu  0.0092  0.2426  0.7433
Pd  0.1385  0.3502  0.4497
Pd  0.2975  0.4920  0.1655
Pd  0.0148  0.7419  0.7448
Pd  0.5881  0.8224  0.5995
Pd  0.3178  0.0133  0.1987
Pd  0.4462  0.1658  0.8852
Pd  0.4562  0.6726  0.8950
Pd  0.8816  0.5929  0.0577

---

# 8
The following is a PBE calculation of an optimized crystal structure of Ho3Cu3Ni2, from the Alexandria database.

- excess energy over the best structure of this formula in the dataset (meV per atom) = 2.7
- density (g/cm3) = 9.2
- calculated volume (Å³/atom) = 18.05
- space-group type = Cmcm (63)
- formation energy (eV per atom) = -0.341
- energy (eV per atom) = -5.039
- spin magnetization (μB per formula unit) = 0.00

Cell: 3.8701 5.2209 15.3907 Å, 90.00 90.00 111.75°
Atoms (fractional coordinates):
Ho  0.9271  0.8542  0.3965
Ho  0.0729  0.1458  0.8965
Ho  0.9271  0.8542  0.1035
Ho  0.0729  0.1458  0.6035
Ho  0.6477  0.2954  0.2500
Ho  0.3523  0.7046  0.7500
Cu  0.6388  0.2775  0.4684
Cu  0.3612  0.7225  0.9684
Cu  0.6388  0.2775  0.0316
Cu  0.3612  0.7225  0.5316
Cu  0.3579  0.7159  0.2500
Cu  0.6421  0.2841  0.7500
Ni  0.7819  0.5638  0.8846
Ni  0.2181  0.4362  0.3846
Ni  0.7819  0.5638  0.6154
Ni  0.2181  0.4362  0.1154

---

# 9
The following is a PBE calculation of an optimized crystal structure of LaNbI2N, from the Alexandria database.

- excess energy over the best structure of this formula in the dataset (meV per atom) = 0.0
- formation energy (no corrections) (eV per atom) = -0.308
- density (g/cm3) = 6.2
- calculated volume (Å³/atom) = 26.60
- space-group type = P4/mmm (123)
- energy (eV per atom) = -5.592
- spin magnetization (μB per formula unit) = 0.79

Cell: 5.7735 5.7735 3.9897 Å, 90.00 90.00 90.00°
Last column: magnetic moment on the atom in μB.
Atoms (fractional coordinates):
I  0.0000  0.5000  0.0000  0.01
I  0.5000  0.0000  0.0000  0.01
Nb  0.0000  0.0000  0.0000  0.70
N  0.0000  0.0000  0.5000  -0.06
La  0.5000  0.5000  0.5000  0.00

---

# 10
The following is a PBE calculation of an optimized crystal structure of La3Sn4Hg2, from the Alexandria database.

- density (g/cm3) = 8.1
- calculated volume (Å³/atom) = 29.61
- space-group type = C2/m (12)
- formation energy (eV per atom) = -0.619
- energy (eV per atom) = -4.108
- spin magnetization (μB per formula unit) = 0.00

Cell: 4.7803 6.5499 9.3837 Å, 102.10 90.00 111.40°
Atoms (fractional coordinates):
La  0.6653  0.3305  0.6677
La  0.0000  0.0000  0.0000
La  0.3347  0.6695  0.3323
Sn  0.6905  0.3809  0.0318
Sn  0.3095  0.6191  0.9682
Sn  0.9692  0.9384  0.6409
Sn  0.0308  0.0616  0.3591
Hg  0.6582  0.3164  0.3278
Hg  0.3418  0.6836  0.6722